<A>
Below is a PBEsol-optimized structure of ZrCrPb2, with properties calculated at the SCAN level.

Cell lengths 4.955, 4.955, 4.955 Å; angles 60.00, 60.00, 60.00 degrees
Sites, in units of the cell vectors:
Pb 0.250 0.250 0.250
Pb 0.750 0.750 0.750
Cr 0.000 0.000 0.000
Zr 0.500 0.500 0.500



<B>
Below is a PBEsol-optimized structure of ZrCrPb2, with properties calculated at the SCAN level.

Cell lengths 4.133, 4.292, 4.863 Å; angles 90.00, 90.00, 90.00 degrees
Sites, in units of the cell vectors:
Cr 0.500 0.000 0.500
Pb 0.000 0.000 0.000
Pb 0.000 0.500 0.500
Zr 0.500 0.500 0.000



Most stable structure: <B>